The following is a DFT calculation (GGA+U) of a relaxed HfFeRuO2 crystal.

Results
The value obtained for the raw total energy is -7.479 eV/atom. The value obtained for the size of the total moment is 5.814 μB per cell. Its space group is P4/mmm (123). As for the density of states at the Fermi level: 1.159 states/eV/atom.

Lattice parameters (Å, degrees): 3.9365 5.9500 3.9365 90.00 90.00 90.00
Last column: magnetic moment on the atom in μB.
Sites, in units of the cell vectors:
1 Ru 0.5000 0.5000 0.5000  1.92
2 Hf 0.0000 0.0000 0.0000  -0.08
3 Fe 0.0000 0.5000 0.0000  3.63
4 O 0.0000 0.0000 0.5000  0.08
5 O 0.5000 0.0000 0.0000  0.08